Material: InCuO3
Method: DFT, meta-GGA SCAN
State: single point on PBEsol structure

The calculation puts the formation energy (no corrections) at -3.4 eV/f.u. The value obtained for the total energy is -14.127 eV/atom.

The structure belongs to space group Pm-3m (No. 221); the cell edges are 3.730, 3.730 and 3.730 Å and the angles 90.00°, 90.00° and 90.00°. The asymmetric unit holds In at (0.000, 0.000, 0.000), Cu at (0.500, 0.500, 0.500) and O at (0.000, 0.500, 0.500).



Material: SiBiMo3
Method: DFT, meta-GGA SCAN
State: single point on PBEsol structure

The calculation puts the formation energy (no corrections) at 14.2 eV/f.u. The value obtained for the total energy is -35.820 eV/atom.

The structure belongs to space group Pm-3m (No. 221); the cell edges are 4.938, 4.938 and 4.938 Å and the angles 90.00°, 90.00° and 90.00°. The asymmetric unit holds Si at (0.000, 0.000, 0.000), Bi at (0.500, 0.500, 0.500) and Mo at (0.000, 0.500, 0.500).



Material: ScCr2Ni
Method: DFT, meta-GGA SCAN
State: single point on PBEsol structure

The formation enthalpy at 0 K is -71 meV/atom. The value obtained for the total energy is -16.866 eV/atom.

The structure belongs to space group Pmmm (No. 47); the cell edges are 3.111, 3.976 and 4.361 Å and the angles 90.00°, 90.00° and 90.00°. The asymmetric unit holds Sc at (0.000, 0.000, 0.000), Cr at (0.000, 0.500, 0.500), Cr at (0.500, 0.000, 0.500) and Ni at (0.500, 0.500, 0.000).



Material: Ni2OsW
Method: DFT, meta-GGA SCAN
State: single point on PBEsol structure

The formation enthalpy at 0 K is 20 meV/atom. The offset from the most stable computed form is 0.17 eV per formula unit. The value obtained for the total energy is -43.459 eV/atom.

The structure belongs to space group P4/mmm (No. 123); the cell edges are 3.659, 3.659 and 3.759 Å and the angles 90.00°, 90.00° and 90.00°. The asymmetric unit holds Ni at (0.000, 0.500, 0.000), Os at (0.000, 0.000, 0.500) and W at (0.500, 0.500, 0.500).